Material: SrLa2Pb
Method: DFT, GGA-PBE
State: optimized geometry

Computed properties:
Energy of formation from the pure elements in kJ per mole of atoms: -11.7
E in eV per atom: -3.933

Cell and atoms, written as extended XYZ:
```
4
Lattice="3.5784 -5.3408 0.0000 3.5784 5.3408 0.0000 0.0000 0.0000 3.7354" Properties=species:S:1:pos:R:3 pbc="T T T"
Sr 0.0000 0.0000 0.0000
La 1.7892 2.6704 1.8677
La 1.7892 -2.6704 1.8677
Pb 3.5784 0.0000 0.0000
```

=====

Material: Np2PRu
Method: DFT, GGA-PBE
State: optimized geometry

Computed properties:
Energy of formation from the pure elements in kJ per mole of atoms: 18.2
E in eV per atom: -9.954

Cell and atoms, written as extended XYZ:
```
4
Lattice="1.6503 0.9528 8.6960 -1.6503 0.9528 8.6960 0.0000 -1.9056 8.6960" Properties=species:S:1:pos:R:3 pbc="T T T"
Np 0.0000 0.0000 2.4593
Np 0.0000 0.0000 23.6286
P 0.0000 0.0000 13.0439
Ru 0.0000 0.0000 0.0000
```

=====

Material: Sm3Te2Au
Method: DFT, GGA-PBE
State: optimized geometry

Computed properties:
Energy relative to the lowest polymorph listed for this composition in eV/atom: 0.000
Uncorrected formation energy in eV per atom: -1.1859
E in eV per atom: -5.139

Cell and atoms, written as extended XYZ:
```
12
Lattice="3.7689 -6.5440 0.0000 3.7689 6.5440 0.0000 -2.5362 0.0000 7.3283" Properties=species:S:1:pos:R:3 pbc="T T T"
Sm -0.0737 2.2579 5.5861
Sm 1.1526 0.0000 1.7051
Sm -0.0737 -2.2579 5.5861
Sm 5.0754 2.2579 1.7421
Sm 3.8490 0.0000 5.6232
Sm 5.0754 -2.2579 1.7421
Te -1.2681 0.0000 3.6641
Te 2.5008 2.0824 3.6641
Te 3.7689 0.0000 0.0000
Te 2.5008 -2.0824 3.6641
Au 3.7689 4.3349 0.0000
Au 3.7689 -4.3349 0.0000
```

=====

Material: La2CoOs
Method: DFT, GGA-PBE
State: optimized geometry

Computed properties:
Energy of formation from the pure elements in kJ per mole of atoms: 41.4
E in eV per atom: -6.619

Cell and atoms, written as extended XYZ:
```
4
Lattice="1.8493 1.0677 7.9562 -1.8493 1.0677 7.9562 0.0000 -2.1354 7.9562" Properties=species:S:1:pos:R:3 pbc="T T T"
La 0.0000 0.0000 5.8852
La 0.0000 0.0000 17.9835
Co 0.0000 0.0000 11.9343
Os 0.0000 0.0000 0.0000
```

=====

Material: PrHoTm2
Method: DFT, GGA-PBE
State: optimized geometry

Computed properties:
Energy relative to the lowest polymorph listed for this composition in eV/atom: 0.094
Energy of formation from the pure elements in kJ per mole of atoms: 10.8
E in eV per atom: -4.464

Cell and atoms, written as extended XYZ:
```
4
Lattice="0.0000 4.0052 4.0052 4.0052 0.0000 4.0052 4.0052 4.0052 0.0000" Properties=species:S:1:pos:R:3 pbc="T T T"
Pr 0.0000 0.0000 0.0000
Ho 4.0052 4.0052 4.0052
Tm 2.0026 2.0026 2.0026
Tm 6.0078 6.0078 6.0078
```

=====

Material: ZrNpSe2N
Method: DFT, GGA-PBE
State: optimized geometry

Computed properties:
Uncorrected formation energy in eV per atom: -1.2856
E in eV per atom: -8.642

Cell and atoms, written as extended XYZ:
```
10
Lattice="3.7964 0.0000 0.0000 0.0000 3.7964 0.0000 0.0000 0.0000 13.4247" Properties=species:S:1:pos:R:3 pbc="T T T"
Zr 0.9491 0.9491 1.1515
Zr 2.8473 2.8473 12.2732
Np 0.9491 0.9491 7.8901
Np 2.8473 2.8473 5.5346
Se 0.9491 0.9491 3.9842
Se 0.9491 0.9491 11.7894
Se 2.8473 2.8473 1.6353
Se 2.8473 2.8473 9.4405
N 0.9491 2.8473 6.7123
N 2.8473 0.9491 6.7123
```

=====

Material: SrSbCl2
Method: DFT, GGA-PBE
State: optimized geometry

Computed properties:
Energy relative to the lowest polymorph listed for this composition in eV/atom: 0.798
Uncorrected formation energy in eV per atom: -0.5331
E in eV per atom: -2.907

Cell and atoms, written as extended XYZ:
```
4
Lattice="1.8732 1.0815 10.2974 -1.8732 1.0815 10.2974 0.0000 -2.1629 10.2974" Properties=species:S:1:pos:R:3 pbc="T T T"
Sr 0.0000 0.0000 0.0000
Sb 0.0000 0.0000 15.4462
Cl 0.0000 0.0000 2.7693
Cl 0.0000 0.0000 28.1231
```

=====

Material: AlOs
Method: DFT, GGA-PBE
State: optimized geometry

Computed properties:
Energy of formation from the pure elements in kJ per mole of atoms: -4.7
E in eV per atom: -7.535

Cell and atoms, written as extended XYZ:
```
4
Lattice="1.4281 -4.8809 0.0000 1.4281 4.8809 0.0000 0.0000 0.0000 4.3094" Properties=species:S:1:pos:R:3 pbc="T T T"
Al 1.4281 3.2415 3.2321
Al 1.4281 -3.2415 1.0774
Os 1.4281 0.6494 3.2321
Os 1.4281 -0.6494 1.0774
```

=====

Material: DyAgAu3
Method: DFT, GGA-PBE
State: optimized geometry

Computed properties:
Energy of formation from the pure elements in kJ per mole of atoms: -33.9
E in eV per atom: -3.808

Cell and atoms, written as extended XYZ:
```
10
Lattice="9.4283 -2.4594 0.0000 9.4283 2.4594 0.0000 -1.1060 0.0000 4.7897" Properties=species:S:1:pos:R:3 pbc="T T T"
Dy 1.7723 0.0000 2.0700
Dy 15.9784 0.0000 2.7197
Ag 6.9752 0.0000 0.6911
Ag 10.7755 0.0000 4.0986
Au 3.8616 0.0000 0.0604
Au 4.8531 0.0000 2.8039
Au 7.9701 0.0000 3.4536
Au 9.7806 0.0000 1.3361
Au 12.8975 0.0000 1.9858
Au 13.8891 0.0000 4.7293
```

=====

Material: VAg3Se4
Method: DFT, GGA-PBE
State: optimized geometry

Computed properties:
Energy relative to the lowest polymorph listed for this composition in eV/atom: 0.043
Uncorrected formation energy in eV per atom: -0.2946
E in eV per atom: -4.246

Cell and atoms, written as extended XYZ:
```
16
Lattice="8.1945 0.0000 0.0000 0.0000 7.2192 0.0000 0.0000 0.0000 7.0253" Properties=species:S:1:pos:R:3 pbc="T T T"
V 0.0000 1.2784 0.0000
V 4.0973 5.9408 3.5126
Ag 0.0000 6.1354 3.4410
Ag 2.0294 4.8832 6.8987
Ag 2.0679 2.3360 3.3860
Ag 4.0973 1.0838 6.9537
Ag 6.1266 2.3360 3.3860
Ag 6.1651 4.8832 6.8987
Se 0.0000 1.2739 4.7243
Se 0.0000 6.3290 0.8015
Se 1.9116 2.3712 0.7589
Se 2.1857 4.8480 4.2715
Se 4.0973 0.8903 4.3142
Se 4.0973 5.9453 1.2117
Se 6.0089 4.8480 4.2715
Se 6.2829 2.3712 0.7589
```

=====

Material: AcCuP2
Method: DFT, GGA-PBE
State: optimized geometry

Computed properties:
Energy relative to the lowest polymorph listed for this composition in eV/atom: 0.581
Energy of formation from the pure elements in kJ per mole of atoms: -22.3
E in eV per atom: -4.988

Cell and atoms, written as extended XYZ:
```
4
Lattice="4.4847 0.0000 0.0000 0.0000 4.4847 0.0000 0.0000 0.0000 4.2045" Properties=species:S:1:pos:R:3 pbc="T T T"
Ac 0.0000 0.0000 0.0000
Cu 2.2424 2.2424 0.0000
P 0.0000 2.2424 2.1023
P 2.2424 0.0000 2.1023
```

=====

Material: MnSb2P
Method: DFT, GGA-PBE
State: optimized geometry

Computed properties:
Uncorrected formation energy in eV per atom: 0.1062
E in eV per atom: -5.600

Cell and atoms, written as extended XYZ:
```
4
Lattice="1.6475 0.9512 8.7088 -1.6475 0.9512 8.7088 0.0000 -1.9024 8.7088" Properties=species:S:1:pos:R:3 pbc="T T T"
Mn 0.0000 0.0000 0.0000
Sb 0.0000 0.0000 6.6806
Sb 0.0000 0.0000 12.5121
P 0.0000 0.0000 18.7117
```

=====

Material: Sr2TiSi2O8
Method: DFT, GGA-PBE
State: optimized geometry

Computed properties:
Uncorrected formation energy in eV per atom: -2.9960
E in eV per atom: -7.748

Cell and atoms, written as extended XYZ:
```
26
Lattice="8.4924 0.0000 0.0000 0.0000 8.4924 0.0000 0.0000 0.0000 5.1046" Properties=species:S:1:pos:R:3 pbc="T T T"
Sr 1.4720 2.7743 0.0000
Sr 2.7743 7.0205 0.0000
Sr 5.7182 1.4720 0.0000
Sr 7.0205 5.7182 0.0000
Ti 0.0000 0.0000 2.8655
Ti 4.2462 4.2462 2.8655
Si 1.1014 5.3477 2.7214
Si 3.1448 1.1014 2.7214
Si 5.3477 7.3910 2.7214
Si 7.3910 3.1448 2.7214
O 0.0000 0.0000 1.1626
O 0.0000 4.2462 3.3480
O 0.6778 6.7424 3.4644
O 1.0985 5.3447 1.1164
O 1.7501 0.6778 3.4644
O 2.4961 4.9241 3.4644
O 3.1477 1.0985 1.1164
O 3.5684 2.4961 3.4644
O 4.2462 0.0000 3.3480
O 4.2462 4.2462 1.1626
O 4.9241 5.9963 3.4644
O 5.3447 7.3940 1.1164
O 5.9963 3.5684 3.4644
O 6.7424 7.8146 3.4644
O 7.3940 3.1477 1.1164
O 7.8146 1.7501 3.4644
```

=====

Material: Ag2CSe
Method: DFT, GGA-PBE
State: optimized geometry

Computed properties:
Energy relative to the lowest polymorph listed for this composition in eV/atom: 0.000
Uncorrected formation energy in eV per atom: 1.1677
E in eV per atom: -3.435

Cell and atoms, written as extended XYZ:
```
8
Lattice="-2.4149 2.4149 6.5825 2.4149 -2.4149 6.5825 2.4149 2.4149 -6.5825" Properties=species:S:1:pos:R:3 pbc="T T T"
Ag 3.6223 0.7067 -1.6456
Ag 0.7067 1.2074 1.6456
Ag -1.2074 1.7082 4.9369
Ag 1.7082 1.2074 8.2281
C 0.0000 0.0000 0.0000
C 0.0000 2.4149 3.2913
Se 2.4149 0.0000 3.2913
Se 0.0000 0.0000 6.5825
```

=====

Material: RbMgTl2Bi
Method: DFT, GGA-PBE
State: optimized geometry

Computed properties:
Energy relative to the lowest polymorph listed for this composition in eV/atom: 0.209
Energy of formation from the pure elements in kJ per mole of atoms: 19.3
E in eV per atom: -2.036

Cell and atoms, written as extended XYZ:
```
5
Lattice="6.4328 0.0000 0.0000 0.0000 6.4328 0.0000 0.0000 0.0000 5.6486" Properties=species:S:1:pos:R:3 pbc="T T T"
Rb 0.0000 0.0000 0.0000
Mg 3.2164 3.2164 0.0000
Tl 0.0000 3.2164 2.8243
Tl 3.2164 0.0000 2.8243
Bi 3.2164 3.2164 2.8243
```

=====

Material: Li3Ag4Cl8
Method: DFT, GGA-PBE
State: optimized geometry

Computed properties:
Uncorrected formation energy in eV per atom: -0.9436
E in eV per atom: -3.072

Cell and atoms, written as extended XYZ:
```
15
Lattice="5.3909 -5.3168 0.0000 5.3909 5.3168 0.0000 -5.3325 0.0000 5.4725" Properties=species:S:1:pos:R:3 pbc="T T T"
Li 0.0000 0.0000 0.0000
Li 2.6955 2.6584 0.0000
Li 2.6955 -2.6584 0.0000
Ag -2.6662 0.0000 2.7362
Ag 0.0292 2.6584 2.7362
Ag 0.0292 -2.6584 2.7362
Ag 5.3909 0.0000 0.0000
Cl -2.6983 0.0000 5.3546
Cl 5.3909 2.7631 0.0000
Cl 0.1421 0.0000 2.6405
Cl 2.7247 2.6352 2.7362
Cl 2.7247 -2.6352 2.7362
Cl 5.3072 0.0000 2.8320
Cl 5.3909 -2.7631 0.0000
Cl 8.1476 0.0000 0.1179
```

=====

Material: Tb4ZnHg
Method: DFT, GGA-PBE
State: optimized geometry

Computed properties:
Energy relative to the lowest polymorph listed for this composition in eV/atom: 0.214
Energy of formation from the pure elements in kJ per mole of atoms: -3.9
E in eV per atom: -3.390

Cell and atoms, written as extended XYZ:
```
6
Lattice="5.0040 0.0000 0.0000 0.0000 5.0040 0.0000 0.0000 0.0000 7.2293" Properties=species:S:1:pos:R:3 pbc="T T T"
Tb 0.0000 2.5020 1.7425
Tb 0.0000 2.5020 5.4868
Tb 2.5020 0.0000 1.7425
Tb 2.5020 0.0000 5.4868
Zn 0.0000 0.0000 0.0000
Hg 2.5020 2.5020 3.6147
```

=====

Material: Ac2SiC
Method: DFT, GGA-PBE
State: optimized geometry

Computed properties:
Uncorrected formation energy in eV per atom: 0.4880
E in eV per atom: -5.228

Cell and atoms, written as extended XYZ:
```
4
Lattice="5.2802 0.0000 0.0000 0.0000 5.2802 0.0000 0.0000 0.0000 3.5590" Properties=species:S:1:pos:R:3 pbc="T T T"
Ac 0.0000 2.6401 0.0000
Ac 2.6401 0.0000 0.0000
Si 0.0000 0.0000 1.7795
C 2.6401 2.6401 1.7795
```

=====

Material: PmPrMgSb
Method: DFT, GGA-PBE
State: optimized geometry

Computed properties:
Uncorrected formation energy in eV per atom: -0.4629
E in eV per atom: -4.275

Cell and atoms, written as extended XYZ:
```
4
Lattice="0.0000 3.8612 3.8612 3.8612 0.0000 3.8612 3.8612 3.8612 0.0000" Properties=species:S:1:pos:R:3 pbc="T T T"
Pm 0.0000 0.0000 0.0000
Pr 3.8612 3.8612 3.8612
Mg 5.7917 5.7917 5.7917
Sb 1.9306 1.9306 1.9306
```

=====

Material: Ta2AlNiH
Method: DFT, GGA-PBE
State: optimized geometry

Computed properties:
E in eV per atom: -7.498

Cell and atoms, written as extended XYZ:
```
5
Lattice="4.0439 0.0000 0.0000 0.0000 4.0439 0.0000 0.0000 0.0000 3.9415" Properties=species:S:1:pos:R:3 pbc="T T T"
Ta 0.0000 2.0220 0.0000
Ta 2.0220 0.0000 0.0000
Al 0.0000 0.0000 1.9707
Ni 2.0220 2.0220 1.9707
H 2.0220 2.0220 0.0000
```